Compound: SmPdPt4
Source: OQMD
Functional: PBE
Structure: relaxed

Output
As for the space group: F-43m (216). The total energy comes out at -0.2344 hartree per atom. The energy relative to the elements comes out at -694 meV/atom.

Structure (extended XYZ):
```
6
Lattice="0.000 3.786 3.786 3.786 0.000 3.786 3.786 3.786 0.000" Properties=species:S:1:pos:R:3 pbc="T T T"
Pd 0.000 0.000 0.000
Pt 2.837 4.736 4.736
Pt 4.736 2.837 4.736
Pt 2.837 2.837 2.837
Pt 4.736 4.736 2.837
Sm 5.679 5.679 5.679
```

Compound: Cs2PtC2O4F4
Source: OQMD
Functional: PBE
Structure: relaxed

Output
As for the space group: C2/m (12). The total energy comes out at -0.2108 hartree per atom.

Structure (extended XYZ):
```
26
Lattice="-3.236 4.716 1.892 7.215 1.780 -1.687 -2.628 1.834 -9.064" Properties=species:S:1:pos:R:3 pbc="T T T"
C -1.706 4.961 -3.223
C -0.873 3.747 -3.710
C 2.223 4.582 -5.148
C 3.056 3.368 -5.636
Cs 2.614 2.562 -1.914
Cs 2.948 6.522 -1.622
Cs -1.597 1.808 -7.237
Cs -1.263 5.768 -6.945
F -1.308 4.422 0.837
F 0.212 2.206 -0.052
F 0.820 4.766 -0.887
F 4.761 4.347 -2.691
F -3.410 3.983 -6.168
F 0.531 3.563 -7.971
F 1.139 6.123 -8.806
F 2.659 3.908 -9.695
O -1.819 5.089 -1.916
O -0.372 2.980 -2.762
O 2.064 4.807 -3.958
O 3.579 2.598 -4.845
O -2.229 5.732 -4.014
O -0.713 3.523 -4.900
O 1.723 5.349 -6.097
O 3.170 3.241 -6.943
Pt -0.822 3.659 -0.935
Pt 2.173 4.671 -7.923
```

Compound: PmGdAsO
Source: OQMD
Functional: PBE
Structure: relaxed

Output
As for the space group: P4/nmm (129). The value obtained for the energy relative to the lowest polymorph listed for this composition is 74 meV/atom. The total energy comes out at -0.2438 hartree per atom.

Structure (extended XYZ):
```
8
Lattice="4.392 0.000 0.000 0.000 4.392 0.000 0.000 0.000 9.099" Properties=species:S:1:pos:R:3 pbc="T T T"
As 3.294 3.294 2.699
As 1.098 1.098 6.400
Gd 3.294 1.098 4.549
Gd 1.098 3.294 4.549
O 3.294 1.098 0.000
O 1.098 3.294 0.000
Pm 1.098 1.098 0.964
Pm 3.294 3.294 8.134
```

Compound: TlAsAuO
Source: OQMD
Functional: PBE
Structure: relaxed

Output
As for the space group: P4/nmm (129). The value obtained for the energy relative to the lowest polymorph listed for this composition is 0 meV/atom. The total energy comes out at -0.1419 hartree per atom.

Structure (extended XYZ):
```
8
Lattice="-0.803 -2.348 3.347 1.174 -3.399 -2.103 8.558 1.176 2.879" Properties=species:S:1:pos:R:3 pbc="T T T"
As 3.027 -3.933 1.857
As 5.902 -0.639 2.265
Au 3.970 -2.023 3.423
Au 4.959 -2.549 0.699
O -0.309 -2.611 1.984
O 0.680 -3.136 -0.741
Tl 1.100 -1.298 0.650
Tl 7.829 -3.273 3.473
```

Compound: NaAlFeMo
Source: OQMD
Functional: PBE
Structure: relaxed

Output
As for the space group: F-43m (216). The value obtained for the energy relative to the lowest polymorph listed for this composition is 0 meV/atom. The total energy comes out at -0.2060 hartree per atom.

Structure (extended XYZ):
```
4
Lattice="0.000 3.043 3.043 3.043 0.000 3.043 3.043 3.043 0.000" Properties=species:S:1:pos:R:3 pbc="T T T"
Al 3.043 3.043 3.043
Fe 1.521 1.521 1.521
Mo 0.000 0.000 0.000
Na 4.564 4.564 4.564
```

Compound: DyInB4
Source: OQMD
Functional: PBE
Structure: relaxed

Output
As for the space group: P6/mmm (191). The value obtained for the energy relative to the lowest polymorph listed for this composition is 144 meV/atom. The total energy comes out at -0.2071 hartree per atom.

Structure (extended XYZ):
```
6
Lattice="3.231 0.000 0.000 -1.615 2.798 0.000 0.000 0.000 7.699" Properties=species:S:1:pos:R:3 pbc="T T T"
B 1.615 0.933 1.922
B 0.000 1.865 1.922
B 1.615 0.933 5.777
B 0.000 1.865 5.777
Dy 0.000 0.000 3.849
In 0.000 0.000 0.000
```

Compound: NaCdSiAu
Source: OQMD
Functional: PBE
Structure: relaxed

Output
As for the space group: F-43m (216). The value obtained for the energy relative to the lowest polymorph listed for this composition is 63 meV/atom. The total energy comes out at -0.0961 hartree per atom.

Structure (extended XYZ):
```
4
Lattice="-0.074 -3.965 -2.705 -0.648 -4.292 2.050 -4.117 -2.378 -0.660" Properties=species:S:1:pos:R:3 pbc="T T T"
Au -3.630 -7.975 -0.987
Cd 0.000 0.000 0.000
Na -2.420 -5.317 -0.658
Si -1.210 -2.658 -0.329
```

Compound: ErFeCu
Source: OQMD
Functional: PBE
Structure: relaxed

Output
As for the space group: F-43m (216). The total energy comes out at -0.1913 hartree per atom. The energy relative to the elements comes out at 324 meV/atom.

Structure (extended XYZ):
```
3
Lattice="0.000 3.082 3.082 3.082 0.000 3.082 3.082 3.082 0.000" Properties=species:S:1:pos:R:3 pbc="T T T"
Cu 0.000 0.000 0.000
Er 1.541 1.541 1.541
Fe 4.624 4.624 4.624
```

Compound: ZnB3W4
Source: OQMD
Functional: PBE
Structure: relaxed

Output
As for the space group: P6_3/mmc (194). The total energy comes out at -0.3405 hartree per atom.

Structure (extended XYZ):
```
16
Lattice="3.118 0.000 0.000 -1.559 2.700 0.000 0.000 0.000 23.775" Properties=species:S:1:pos:R:3 pbc="T T T"
B 0.000 0.000 0.000
B 1.559 0.900 2.643
B 1.559 0.900 9.244
B 0.000 0.000 11.887
B 0.000 1.800 14.531
B 0.000 1.800 21.131
W 0.000 1.800 1.362
W 0.000 0.000 3.810
W 0.000 0.000 8.078
W 0.000 1.800 10.526
W 1.559 0.900 13.249
W 0.000 0.000 15.697
W 0.000 0.000 19.965
W 1.559 0.900 22.413
Zn 0.000 1.800 5.944
Zn 1.559 0.900 17.831
```

Compound: YCoReSn
Source: OQMD
Functional: PBE
Structure: relaxed

Output
As for the space group: F-43m (216). The value obtained for the energy relative to the lowest polymorph listed for this composition is 0 meV/atom. The total energy comes out at -0.2672 hartree per atom.

Structure (extended XYZ):
```
4
Lattice="0.000 3.290 3.290 3.290 0.000 3.290 3.290 3.290 0.000" Properties=species:S:1:pos:R:3 pbc="T T T"
Co 4.935 4.935 4.935
Re 1.645 1.645 1.645
Sn 0.000 0.000 0.000
Y 3.290 3.290 3.290
```

Compound: NdHo2Ge3PdPt2
Source: OQMD
Functional: PBE
Structure: relaxed

Output
As for the space group: Amm2 (38). The total energy comes out at -0.2206 hartree per atom.

Structure (extended XYZ):
```
9
Lattice="3.947 0.000 0.000 0.000 6.334 3.620 0.000 -6.334 3.620" Properties=species:S:1:pos:R:3 pbc="T T T"
Ge 1.973 4.714 2.716
Ge 1.973 0.000 1.822
Ge 1.973 -4.714 2.716
Ho 0.000 3.756 5.086
Ho 0.000 -3.756 5.086
Nd 0.000 0.000 4.276
Pd 0.000 0.000 0.053
Pt 1.973 2.179 3.602
Pt 1.973 -2.179 3.602
```

Compound: PuS
Source: OQMD
Functional: PBE
Structure: relaxed

Output
As for the space group: Fm-3m (225). The total energy comes out at -0.4038 hartree per atom.

Structure (extended XYZ):
```
2
Lattice="2.685 0.978 2.740 0.934 3.802 0.588 -1.138 1.827 3.323" Properties=species:S:1:pos:R:3 pbc="T T T"
Pu 0.000 0.000 0.000
S 1.241 3.303 3.326
```

Compound: LaNd2In3AgPt2
Source: OQMD
Functional: PBE
Structure: relaxed

Output
As for the space group: Amm2 (38). The total energy comes out at -0.1832 hartree per atom.

Structure (extended XYZ):
```
9
Lattice="-1.911 -3.491 0.733 6.614 -2.982 3.041 -5.104 3.770 4.650" Properties=species:S:1:pos:R:3 pbc="T T T"
Ag 1.510 0.788 7.689
In 3.930 -3.943 2.636
In -0.570 -1.544 2.331
In -4.716 1.039 3.823
La 0.882 0.460 4.490
Nd 2.737 -1.234 1.261
Nd -2.111 1.560 1.927
Pt 1.745 -2.471 3.952
Pt -2.143 -0.230 4.486
```

Compound: Hf2GePt2Pb
Source: OQMD
Functional: PBE
Structure: relaxed

Output
As for the space group: Pm (6). The total energy comes out at -0.2766 hartree per atom.

Structure (extended XYZ):
```
24
Lattice="-0.983 -6.415 -8.816 -3.497 -2.047 1.879 -6.038 9.060 -1.367" Properties=species:S:1:pos:R:3 pbc="T T T"
Ge -0.759 -4.794 -6.633
Ge -2.646 -0.668 -0.344
Ge -1.992 -0.931 -4.720
Ge -3.244 2.888 -2.890
Hf -0.291 -1.542 -2.222
Hf -3.108 -3.878 -4.699
Hf -1.518 2.261 -0.362
Hf -4.358 -0.037 -2.842
Hf -3.715 -0.292 -7.232
Hf -5.605 3.755 -1.032
Hf -5.032 3.568 -5.478
Hf -7.962 1.354 -8.032
Pb -4.850 -3.260 -7.267
Pb -6.141 0.647 -5.416
Pb -4.550 6.805 -1.054
Pb -7.402 4.503 -3.561
Pt -0.077 0.087 -0.049
Pt -2.907 -2.219 -2.518
Pt -2.174 -2.562 -6.835
Pt -4.129 1.516 -0.724
Pt -3.443 1.297 -4.994
Pt -6.377 -0.978 -7.623
Pt -4.699 5.058 -3.234
Pt -7.722 2.920 -5.881
```

Compound: MgAlReMo
Source: OQMD
Functional: PBE
Structure: relaxed

Output
As for the space group: F-43m (216). The value obtained for the energy relative to the lowest polymorph listed for this composition is 527 meV/atom. The total energy comes out at -0.2463 hartree per atom.

Structure (extended XYZ):
```
4
Lattice="0.270 -2.765 3.479 -3.602 -2.244 1.344 -0.245 -4.400 -0.630" Properties=species:S:1:pos:R:3 pbc="T T T"
Al -0.894 -2.353 1.048
Mg -2.683 -7.058 3.145
Mo 0.000 0.000 0.000
Re -1.788 -4.705 2.096
```

Compound: Ho2In
Source: OQMD
Functional: PBE
Structure: relaxed

Output
As for the space group: Fd-3m (227). The total energy comes out at -0.1405 hartree per atom.

Structure (extended XYZ):
```
6
Lattice="-5.816 -1.802 1.435 -4.876 3.541 -1.678 -3.874 -1.946 -4.509" Properties=species:S:1:pos:R:3 pbc="T T T"
Ho -7.166 0.844 -0.716
Ho -6.666 -1.900 -2.131
Ho -6.196 0.772 -3.688
Ho -9.103 -0.129 -2.970
In 0.000 0.000 0.000
In -3.641 -0.052 -1.188
```

Compound: GdHf2O3
Source: OQMD
Functional: PBE
Structure: relaxed

Output
As for the space group: P-3m1 (164). The total energy comes out at -0.3262 hartree per atom.

Structure (extended XYZ):
```
6
Lattice="-1.946 0.210 2.641 2.058 -2.542 -0.327 5.675 4.098 3.854" Properties=species:S:1:pos:R:3 pbc="T T T"
Gd 2.837 2.049 1.927
Hf 0.258 -0.080 2.242
Hf 5.529 1.846 3.926
O 0.000 0.000 0.000
O 2.425 -0.396 1.818
O 3.362 2.162 4.350
```

Compound: Tm2Au
Source: OQMD
Functional: PBE
Structure: relaxed

Output
As for the space group: Fd-3m (227). The total energy comes out at -0.1399 hartree per atom. The energy relative to the elements comes out at 266 meV/atom.

Structure (extended XYZ):
```
6
Lattice="0.000 4.220 4.220 4.220 0.000 4.220 4.220 4.220 0.000" Properties=species:S:1:pos:R:3 pbc="T T T"
Au 0.000 0.000 0.000
Au 2.110 2.110 2.110
Tm 3.165 3.165 5.275
Tm 3.165 5.275 3.165
Tm 5.275 3.165 3.165
Tm 5.275 5.275 5.275
```

Compound: ZrNb2Ir
Source: OQMD
Functional: PBE
Structure: relaxed

Output
As for the space group: F-43m (216). The total energy comes out at -0.3590 hartree per atom. The energy relative to the elements comes out at -372 meV/atom.

Structure (extended XYZ):
```
4
Lattice="0.898 -4.561 -0.146 -3.131 -3.039 1.608 -2.321 -2.733 -2.961" Properties=species:S:1:pos:R:3 pbc="T T T"
Ir -1.139 -2.583 -0.375
Nb 0.000 0.000 0.000
Nb -3.416 -7.749 -1.124
Zr -2.278 -5.166 -0.750
```

Compound: DyHoTmIn
Source: OQMD
Functional: PBE
Structure: relaxed

Output
As for the space group: Pmmm (47). The total energy comes out at -0.1603 hartree per atom.

Structure (extended XYZ):
```
4
Lattice="4.806 0.000 0.000 0.000 4.806 0.000 0.000 0.000 4.815" Properties=species:S:1:pos:R:3 pbc="T T T"
Dy 2.403 0.000 0.000
Ho 2.403 2.403 2.407
In 0.000 2.403 0.000
Tm 0.000 0.000 2.407
```

Compound: PmOsPt
Source: OQMD
Functional: PBE
Structure: relaxed

Output
As for the space group: F-43m (216). The value obtained for the energy relative to the lowest polymorph listed for this composition is 0 meV/atom. The total energy comes out at -0.2591 hartree per atom. The energy relative to the elements comes out at 293 meV/atom.

Structure (extended XYZ):
```
3
Lattice="0.631 -4.045 2.057 0.564 -0.197 4.542 -3.299 -1.765 2.643" Properties=species:S:1:pos:R:3 pbc="T T T"
Os -0.526 -1.502 2.311
Pm -1.578 -4.506 6.932
Pt 0.000 0.000 0.000
```

Compound: ErLuSc
Source: OQMD
Functional: PBE
Structure: relaxed

Output
As for the space group: F-43m (216). The value obtained for the energy relative to the lowest polymorph listed for this composition is 0 meV/atom. The total energy comes out at -0.1633 hartree per atom. The energy relative to the elements comes out at 696 meV/atom.

Structure (extended XYZ):
```
3
Lattice="-3.839 -1.029 3.343 -4.333 2.862 -0.061 -4.450 -2.061 -1.710" Properties=species:S:1:pos:R:3 pbc="T T T"
Er -3.155 -0.057 0.393
Lu -9.466 -0.172 1.180
Sc 0.000 0.000 0.000
```

Compound: RbHg3Te4Pt
Source: OQMD
Functional: PBE
Structure: relaxed

Output
As for the space group: P-43m (215). The total energy comes out at -0.0868 hartree per atom.

Structure (extended XYZ):
```
9
Lattice="-0.979 1.629 6.906 -2.518 -6.598 1.200 6.634 -2.264 1.474" Properties=species:S:1:pos:R:3 pbc="T T T"
Hg -1.748 -2.484 4.053
Hg 2.828 -0.317 4.190
Hg 2.058 -4.431 1.337
Pt 1.569 -3.616 4.790
Rb 0.000 0.000 0.000
Te 0.903 -2.082 2.757
Te -0.581 -4.190 6.197
Te 3.303 -2.351 6.314
Te 2.649 -5.842 3.892
```

Compound: Sm4IrBr5
Source: OQMD
Functional: PBE
Structure: relaxed

Output
As for the space group: C2/m (12). The total energy comes out at -0.1870 hartree per atom.

Structure (extended XYZ):
```
10
Lattice="9.486 -2.037 0.000 9.486 2.037 0.000 -2.039 0.000 8.397" Properties=species:S:1:pos:R:3 pbc="T T T"
Br 15.335 0.000 1.290
Br 2.515 0.000 2.842
Br 8.467 0.000 4.199
Br 14.418 0.000 5.555
Br 1.598 0.000 7.107
Ir 9.486 0.000 0.000
Sm 12.162 0.000 0.715
Sm -0.423 0.000 1.818
Sm 17.356 0.000 6.579
Sm 4.772 0.000 7.682
```

Compound: ScUMo
Source: OQMD
Functional: PBE
Structure: relaxed

Output
As for the space group: F-43m (216). The value obtained for the energy relative to the lowest polymorph listed for this composition is 567 meV/atom. The total energy comes out at -0.3048 hartree per atom. The energy relative to the elements comes out at 1197 meV/atom.

Structure (extended XYZ):
```
3
Lattice="3.527 -2.695 1.030 -0.454 -4.529 -0.214 2.109 -2.349 -3.286" Properties=species:S:1:pos:R:3 pbc="T T T"
Mo 1.295 -2.393 -0.618
Sc 3.886 -7.179 -1.853
U 0.000 0.000 0.000
```